Record 1
Here is an optimized crystal structure of NiAuIO2 from Alexandria. Energies are from PBE with a Hubbard U.

a = 3.8350 Å, b = 3.8350 Å, c = 6.3933 Å
α = 90.00°, β = 90.00°, γ = 90.00°
Closest atoms and distances in Å follow each position.
Atoms (fractional coordinates):
I: 0.0000 0.0000 0.5000  4 Au 2.71
Ni: 0.0000 0.0000 0.0000  4 O 1.92
Au: 0.5000 0.5000 0.5000  4 I 2.71
O: 0.0000 0.5000 0.0000  2 Ni 1.92
O: 0.5000 0.0000 0.0000  2 Ni 1.92

Values from the calculation:
Relative energy among the computed polymorphs ... 0.0364 eV/atom

Record 2
Here is an optimized crystal structure of NiAuIO2 from Alexandria. Energies are from PBE with a Hubbard U.

a = 3.9065 Å, b = 3.9065 Å, c = 7.6101 Å
α = 90.00°, β = 90.00°, γ = 90.00°
Closest atoms and distances in Å follow each position.
Atoms (fractional coordinates):
I: 0.0000 0.0000 0.5000  4 Ni 2.76
Ni: 0.5000 0.5000 0.5000  4 I 2.76
Au: 0.0000 0.0000 0.0000  4 O 1.95
O: 0.0000 0.5000 0.0000  2 Au 1.95
O: 0.5000 0.0000 0.0000  2 Au 1.95

Values from the calculation:
Relative energy among the computed polymorphs ... 0.2049 eV/atom

Record 3
Here is an optimized crystal structure of NiAuIO2 from Alexandria. Energies are from PBE with a Hubbard U.

a = 3.8239 Å, b = 6.4863 Å, c = 3.8239 Å
α = 90.00°, β = 90.00°, γ = 90.00°
Closest atoms and distances in Å follow each position.
Atoms (fractional coordinates):
I: 0.5000 0.5000 0.5000  4 Au 2.70
Ni: 0.0000 0.0000 0.0000  4 O 1.91
Au: 0.0000 0.5000 0.0000  4 I 2.70
O: 0.0000 0.0000 0.5000  2 Ni 1.91
O: 0.5000 0.0000 0.0000  2 Ni 1.91

Values from the calculation:
Relative energy among the computed polymorphs ... 0.0000 eV/atom

M_tot (computed, Bohr magnetons per cell): 3.20 2.26 3.43